# 1
VASP calculation (PBE-GGA) on an optimized crystal structure of Na2UAgTe4.

Cell lengths 7.310, 6.644, 6.644 Å; angles 72.38, 56.62, 56.62 degrees
Element x y z (fractional)
Te  0.058  0.409  0.000
Te  0.942  0.000  0.591
U  0.000  0.000  0.000
Te  0.468  0.591  0.000
Te  0.532  0.000  0.409
Na  0.500  0.500  0.500
Na  0.000  0.500  0.500
Ag  0.500  0.000  0.000

Output
Raw formation energy ... -0.50 eV per atom
Calculated total energy ... -4.16 eV per atom
Space group ... No. 121
Volume ... 28.12 Å³/atom

# 2
VASP calculation (PBE-GGA) on an optimized crystal structure of Na3UAg2Te6.

Cell lengths 7.553, 7.553, 8.070 Å; angles 98.29, 98.29, 124.98 degrees
Element x y z (fractional)
Ag  0.361  0.639  0.000
Te  0.411  0.088  0.215
Te  0.912  0.589  0.785
Na  0.500  0.500  0.500
Na  0.180  0.820  0.500
Na  0.820  0.180  0.500
U  0.000  0.000  0.000
Te  0.772  0.772  0.250
Te  0.589  0.912  0.785
Te  0.228  0.228  0.750
Te  0.088  0.411  0.215
Ag  0.639  0.361  0.000

Output
Raw formation energy ... -0.49 eV per atom
Calculated total energy ... -3.81 eV per atom
Space group ... No. 12
Volume ... 29.86 Å³/atom

# 3
VASP calculation (PBE-GGA) on an optimized crystal structure of NaUAg2Te4.

Cell lengths 7.482, 6.826, 6.826 Å; angles 72.85, 56.77, 56.77 degrees
Element x y z (fractional)
Ag  0.178  0.322  0.322
Te  0.484  0.067  0.516
Te  0.933  0.516  0.067
U  0.500  0.500  0.500
Te  0.067  0.933  0.484
Te  0.516  0.484  0.933
Ag  0.822  0.678  0.678
Na  0.000  0.000  0.000

Output
Raw formation energy ... -0.26 eV per atom
Calculated total energy ... -4.12 eV per atom
Space group ... No. 23
Volume ... 30.48 Å³/atom

# 4
VASP calculation (PBE-GGA) on an optimized crystal structure of NaUAgTe3.

Cell lengths 4.384, 8.438, 10.549 Å; angles 105.86, 90.00, 90.00 degrees
Element x y z (fractional)
Na  0.750  0.769  0.704
Ag  0.750  0.916  0.412
Na  0.250  0.231  0.296
U  0.250  0.684  0.166
Te  0.250  0.581  0.859
Te  0.250  0.072  0.852
Ag  0.250  0.084  0.588
Te  0.750  0.928  0.148
Te  0.750  0.280  0.541
U  0.750  0.316  0.834
Te  0.750  0.419  0.141
Te  0.250  0.720  0.459

Output
Raw formation energy ... -0.61 eV per atom
Calculated total energy ... -4.76 eV per atom
Space group ... No. 11
Volume ... 31.28 Å³/atom

# 5
VASP calculation (PBE-GGA) on an optimized crystal structure of Na2VAgTe4.

Cell lengths 6.801, 6.759, 6.759 Å; angles 75.34, 59.79, 59.79 degrees
Element x y z (fractional)
Te  0.106  0.357  0.000
Na  0.000  0.500  0.500
Te  0.463  0.643  0.000
V  0.500  0.000  0.000
Te  0.537  0.000  0.357
Ag  0.000  0.000  0.000
Te  0.894  0.000  0.643
Na  0.500  0.500  0.500

Output
Raw formation energy ... -0.40 eV per atom
Calculated total energy ... -3.79 eV per atom
Space group ... No. 121
Volume ... 29.01 Å³/atom

# 6
VASP calculation (PBE-GGA) on an optimized crystal structure of NaVAgTe3.

Cell lengths 4.027, 8.058, 10.225 Å; angles 107.69, 90.00, 90.00 degrees
Element x y z (fractional)
Te  0.250  0.557  0.880
Ag  0.750  0.932  0.395
Te  0.750  0.906  0.122
V  0.750  0.303  0.829
Na  0.750  0.757  0.714
Te  0.750  0.443  0.120
Ag  0.250  0.068  0.605
Te  0.250  0.094  0.878
Te  0.250  0.702  0.437
Na  0.250  0.243  0.286
V  0.250  0.697  0.171
Te  0.750  0.298  0.563

Output
Raw formation energy ... -0.38 eV per atom
Calculated total energy ... -4.16 eV per atom
Space group ... No. 11
Volume ... 26.34 Å³/atom

# 7
VASP calculation (PBE-GGA) on an optimized crystal structure of NaZnAg2Te.

Cell lengths 4.970, 5.464, 4.970 Å; angles 90.00, 90.00, 90.00 degrees
Element x y z (fractional)
Na  0.500  0.500  0.500
Zn  0.000  0.000  0.000
Ag  0.500  0.000  0.000
Ag  0.000  0.000  0.500
Te  0.000  0.500  0.000

Output
Raw formation energy ... 0.08 eV per atom
Calculated total energy ... -2.20 eV per atom
Space group ... No. 123
Volume ... 26.99 Å³/atom

# 8
VASP calculation (PBE-GGA) on an optimized crystal structure of NaZrAg2Te4.

Cell lengths 7.024, 7.085, 7.085 Å; angles 64.48, 60.29, 60.29 degrees
Element x y z (fractional)
Zr  0.500  0.500  0.500
Te  0.860  0.594  0.107
Ag  0.152  0.348  0.348
Te  0.440  0.107  0.594
Ag  0.848  0.652  0.652
Na  0.000  0.000  0.000
Te  0.560  0.406  0.893
Te  0.140  0.893  0.406

Output
Raw formation energy ... -0.38 eV per atom
Calculated total energy ... -3.89 eV per atom
Space group ... No. 23
Volume ... 32.23 Å³/atom

# 9
VASP calculation (PBE-GGA) on an optimized crystal structure of Na4Zr3AgTe8.

Cell lengths 8.444, 9.020, 8.449 Å; angles 117.96, 119.98, 90.00 degrees
Element x y z (fractional)
Te  0.742  0.725  0.483
Te  0.734  0.721  0.978
Te  0.258  0.275  0.517
Na  0.000  0.000  0.000
Na  0.500  0.000  0.500
Te  0.243  0.721  0.978
Na  0.500  0.000  0.000
Zr  0.000  0.500  0.500
Te  0.266  0.279  0.022
Te  0.756  0.278  0.512
Te  0.244  0.722  0.488
Na  0.000  0.000  0.500
Ag  0.000  0.500  0.000
Te  0.757  0.279  0.022
Zr  0.500  0.500  0.000
Zr  0.500  0.500  0.500

Output
Raw formation energy ... -0.80 eV per atom
Calculated total energy ... -4.48 eV per atom
Space group ... No. 166
Volume ... 29.29 Å³/atom

# 10
VASP calculation (PBE-GGA) on an optimized crystal structure of NaThAg4.

Cell lengths 5.691, 5.691, 5.691 Å; angles 60.00, 60.00, 60.00 degrees
Element x y z (fractional)
Ag  0.128  0.624  0.624
Na  0.250  0.250  0.250
Ag  0.624  0.624  0.128
Ag  0.624  0.624  0.624
Th  0.000  0.000  0.000
Ag  0.624  0.128  0.624

Output
Formation energy ... 0.0 eV/f.u.
Calculated total energy ... -3.35 eV per atom
Space group ... No. 216
Volume ... 21.72 Å³/atom

# 11
VASP calculation (PBE-GGA) on an optimized crystal structure of NaThTlAg.

Cell lengths 5.289, 5.289, 5.289 Å; angles 60.00, 60.00, 60.00 degrees
Element x y z (fractional)
Ag  0.250  0.250  0.250
Tl  0.750  0.750  0.750
Th  0.000  0.000  0.000
Na  0.500  0.500  0.500

Output
Formation energy ... 0.0 eV/f.u.
Calculated total energy ... -3.49 eV per atom
Space group ... No. 216
Volume ... 26.15 Å³/atom

# 12
VASP calculation (PBE-GGA) on an optimized crystal structure of NaTiAg3.

Cell lengths 5.158, 5.158, 5.158 Å; angles 90.00, 90.00, 90.00 degrees
Element x y z (fractional)
Ag  0.500  0.000  0.000
Ti  0.000  0.000  0.000
Ag  0.000  0.000  0.500
Na  0.500  0.500  0.500
Ag  0.000  0.500  0.000

Output
Formation energy ... 3.6 eV/f.u.
Energy relative to the lowest polymorph listed for this composition ... 0.000 eV/atom
Calculated total energy ... -2.84 eV per atom
Space group ... No. 221
Volume ... 27.45 Å³/atom